Crystalline CsCoTeO4 at its relaxed geometry. Source: the Alexandria database, functional PBE+U.

Values from the calculation:
Theoretical density = 4.22 g/cm3
DFT total energy = -72.75 eV for the cell shown

Lattice parameters (Å, degrees): 5.777 6.571 8.065 90.00 99.43 90.00
Fractional positions:
O  0.614  0.750  0.544
O  0.902  0.948  0.299
O  0.902  0.552  0.299
O  0.675  0.250  0.784
O  0.098  0.448  0.701
O  0.098  0.052  0.701
O  0.325  0.750  0.216
O  0.386  0.250  0.456
Co  0.642  0.750  0.337
Co  0.358  0.250  0.663
Cs  0.813  0.750  0.890
Cs  0.187  0.250  0.110
Te  0.868  0.250  0.606
Te  0.132  0.750  0.394